Computed, not measured: LaCoRu after structural relaxation at the GGA-PBE level of DFT.

a b c (Å): 2.9393 2.9393 7.2272
angles (deg): 90.00 90.00 120.00
Last column: nearest neighbours and their distance in Å.
Space group P3m1 (No. 156)
Symmetry-distinct sites (fractional):
La: 0.0000 0.0000 0.0000 [1 per cell]  6 La 2.94, 3 Ru 3.17, 3 Co 3.18
Co: 0.3333 0.6667 0.6278 [1 per cell]  3 Ru 2.51
Ru: 0.6667 0.3333 0.3711 [1 per cell]  3 Co 2.51

Properties
ΔH_f (0 K)   2.08 eV per formula unit
Calculated volume   54.1 Å³ per cell
Total energy   -6.408 eV/atom
Density of states at the Fermi level   1.491 states/eV per atom

Computed, not measured: SrLiTa after structural relaxation at the GGA-PBE level of DFT.

a b c (Å): 4.0053 4.0053 8.8812
angles (deg): 90.00 90.00 90.00
Last column: nearest neighbours and their distance in Å.
Space group P4/nmm (No. 129, origin choice 2)
Symmetry-distinct sites (fractional):
Sr: 0.2500 0.7500 0.0000 [2 per cell]  4 Sr 2.83
Li: 0.2500 0.2500 0.2825 [2 per cell]  1 Ta 2.52
Ta: 0.2500 0.2500 0.5657 [2 per cell]  1 Li 2.52

Properties
ΔH_f (0 K)   3.82 eV per formula unit
Calculated volume   142.5 Å³ per cell
Total energy   -3.876 eV/atom
Distance to the lowest polymorph of the same formula   900.8 meV per atom
Density of states at the Fermi level   0.815 states/eV per atom

Computed, not measured: HoTaReRu after structural relaxation at the GGA-PBE level of DFT.

a b c (Å): 6.5515 6.5515 6.5515
angles (deg): 90.00 90.00 90.00
Last column: nearest neighbours and their distance in Å.
Space group F-43m (No. 216)
Symmetry-distinct sites (fractional):
Ho: 0.0000 0.0000 0.0000 [4 per cell]  4 Ru 2.84, 4 Re 2.84
Ta: 0.0000 0.0000 0.5000 [4 per cell]  4 Re 2.84, 4 Ru 2.84
Re: 0.2500 0.2500 0.7500 [4 per cell]  4 Ta 2.84, 4 Ho 2.84
Ru: 0.2500 0.2500 0.2500 [4 per cell]  4 Ta 2.84, 4 Ho 2.84

Properties
ΔH_f (0 K)   -0.68 eV per formula unit
Calculated volume   281.2 Å³ per cell
Total energy   -9.708 eV/atom
Density of states at the Fermi level   0.694 states/eV per atom

Computed, not measured: La2YAg after structural relaxation at the GGA-PBE level of DFT.

a b c (Å): 8.9725 8.9725 6.4982
angles (deg): 90.00 90.00 90.00
Last column: nearest neighbours and their distance in Å.
Space group I-42d (No. 122)
Symmetry-distinct sites (fractional):
La: 0.2036 0.2500 0.1250 [8 per cell]  2 Ag 3.01, 2 La 3.35
Y: 0.0000 0.0000 0.5000 [4 per cell]  2 Ag 3.25, 4 La 3.57
Ag: 0.0000 0.0000 0.0000 [4 per cell]  4 La 3.01, 2 Y 3.25

Properties
ΔH_f (0 K)   0.37 eV per formula unit
Calculated volume   523.1 Å³ per cell
Total energy   -4.700 eV/atom
Distance to the lowest polymorph of the same formula   218.5 meV per atom
Density of states at the Fermi level   0.953 states/eV per atom